Below is a relaxed structure of BaLiNbNi, with properties calculated at the PBE-GGA level.

Geometry as POSCAR:
```
BaLiNbNi
1.0
0.000 3.385 3.385
3.385 0.000 3.385
3.385 3.385 0.000
Ba Li Nb Ni
1 1 1 1
Direct
0.000 0.000 0.000
0.250 0.250 0.250
0.750 0.750 0.750
0.500 0.500 0.500
```

## Properties
The calculation puts the energy relative to the lowest polymorph listed for this composition at 0 meV/atom. The value obtained for the total energy is -4.108 eV/atom. The value obtained for the calculated volume is 19.40 A^3/atom.